(1)
Density functional theory data (PBE) for a geometry-optimized Zr6In3C structure.

Results
The value obtained for the energy relative to the elements is -0.2228 eV per atom. Its total magnetic moment is 0.00 μB per cell.

```
Zr6In3C
1.0
-2.923 4.683 -2.159
0.270 -3.123 -7.141
-8.593 -4.012 1.430
Zr In C
12 6 2
Direct
0.658 0.140 0.959 Zr
0.609 0.233 0.559 Zr
0.646 0.443 0.279 Zr
0.354 0.557 0.721 Zr
0.391 0.767 0.441 Zr
0.342 0.860 0.041 Zr
0.158 0.360 0.459 Zr
0.109 0.267 0.059 Zr
0.146 0.057 0.779 Zr
0.854 0.943 0.221 Zr
0.891 0.733 0.941 Zr
0.842 0.640 0.541 Zr
0.599 0.896 0.730 In
0.500 0.500 0.000 In
0.401 0.104 0.270 In
0.099 0.604 0.230 In
0.000 0.000 0.500 In
0.901 0.396 0.770 In
0.500 0.500 0.500 C
0.000 0.000 0.000 C
```



(2)
Density functional theory data (PBE) for a geometry-optimized Zr4InC structure.

Results
The value obtained for the energy relative to the elements is -0.1440 eV per atom. Its total magnetic moment is 0.00 μB per cell.

```
Zr4InC
1.0
-6.022 0.377 0.221
-0.327 -1.797 -5.830
-0.365 -6.526 2.032
Zr In C
8 2 2
Direct
0.920 0.603 0.201 Zr
0.580 0.103 0.799 Zr
0.332 0.346 0.407 Zr
0.168 0.846 0.593 Zr
0.080 0.397 0.799 Zr
0.420 0.897 0.201 Zr
0.668 0.654 0.593 Zr
0.832 0.154 0.407 Zr
0.000 0.000 0.000 In
0.500 0.500 0.000 In
0.500 0.000 0.500 C
0.000 0.500 0.500 C
```



(3)
Density functional theory data (PBE) for a geometry-optimized Zr4In2C structure.

Results
The value obtained for the energy relative to the elements is -0.3407 eV per atom. Its total magnetic moment is 0.00 μB per cell.

```
Zr4In2C
1.0
4.499 0.000 0.000
0.000 4.499 0.000
2.249 2.249 7.602
C Zr In
1 4 2
Direct
0.000 0.000 0.000 C
0.152 0.152 0.696 Zr
0.848 0.848 0.304 Zr
0.000 0.500 0.000 Zr
0.500 0.000 0.000 Zr
0.355 0.355 0.290 In
0.645 0.645 0.710 In
```



(4)
Density functional theory data (PBE) for a geometry-optimized Zr6In2C structure.

Results
The value obtained for the energy relative to the elements is -0.2078 eV per atom. Its total magnetic moment is 0.00 μB per cell.

```
Zr6In2C
1.0
-0.987 1.111 -3.184
-3.608 -6.827 -1.263
-3.899 5.938 3.280
Zr In C
6 2 1
Direct
0.500 0.618 0.000 Zr
0.500 0.382 0.382 Zr
0.500 0.000 0.618 Zr
0.000 0.227 0.000 Zr
0.000 0.773 0.773 Zr
0.000 0.000 0.227 Zr
0.000 0.333 0.667 In
0.000 0.667 0.333 In
0.500 0.000 0.000 C
```